4
Lattice="0.0000 3.7181 3.7181 3.7181 0.0000 3.7181 3.7181 3.7181 0.0000" Properties=species:S:1:pos:R:3 comment="TbNdInPd | Alexandria | PBE-GGA | optimized geometry" crystal_system=cubic pbc="T T T"
Tb 0.0000 0.0000 0.0000
Nd 3.7181 3.7181 3.7181
In 5.5771 5.5771 5.5771
Pd 1.8590 1.8590 1.8590

***

4
Lattice="0.0000 3.6277 3.6277 3.6277 0.0000 3.6277 3.6277 3.6277 0.0000" Properties=species:S:1:pos:R:3 comment="NdTlInPd | Alexandria | PBE-GGA | optimized geometry" crystal_system=cubic pbc="T T T"
Nd 0.0000 0.0000 0.0000
Tl 1.8138 1.8138 1.8138
In 3.6277 3.6277 3.6277
Pd 5.4415 5.4415 5.4415

***

9
Lattice="4.2239 0.0000 0.0000 0.0000 4.2239 0.0000 0.0000 0.0000 9.2505" Properties=species:S:1:pos:R:3 comment="NdZn2InPd5 | Alexandria | PBE-GGA | optimized geometry" crystal_system=tetragonal pbc="T T T"
Nd 0.0000 0.0000 0.0000
Zn 2.1119 2.1119 3.4245
Zn 2.1119 2.1119 5.8260
In 0.0000 0.0000 4.6253
Pd 0.0000 2.1119 2.1104
Pd 0.0000 2.1119 7.1401
Pd 2.1119 0.0000 2.1104
Pd 2.1119 0.0000 7.1401
Pd 2.1119 2.1119 0.0000

***

12
Lattice="3.3932 -6.3841 0.0000 3.3932 6.3841 0.0000 0.0000 0.0000 5.7655" Properties=species:S:1:pos:R:3 comment="NdZnInPd3 | Alexandria | PBE-GGA | optimized geometry" crystal_system=orthorhombic pbc="T T T"
Nd 3.3932 4.0287 4.3241
Nd 3.3932 -4.0287 1.4414
Zn 3.3932 4.6121 1.4414
Zn 3.3932 -4.6121 4.3241
In 3.3932 0.9101 4.3241
In 3.3932 -0.9101 1.4414
Pd 1.3487 0.0000 0.0000
Pd 1.3487 0.0000 2.8827
Pd 3.3932 2.0328 1.4414
Pd 3.3932 -2.0328 4.3241
Pd 5.4378 0.0000 0.0000
Pd 5.4378 0.0000 2.8827

***

15
Lattice="5.6882 0.0000 0.0000 -2.8441 4.9261 0.0000 0.0000 0.0000 12.0006" Properties=species:S:1:pos:R:3 comment="Nd3Zn2InPd9 | Alexandria | PBE-GGA | optimized geometry" crystal_system=trigonal pbc="T T T"
Nd 0.0000 0.0000 0.0000
Nd 0.0000 3.2841 9.1622
Nd 2.8441 1.6420 2.8384
Zn 0.0000 3.2841 1.9356
Zn 2.8441 1.6420 10.0649
In 0.0000 0.0000 6.0003
Pd -1.4220 2.4630 0.0000
Pd 0.0000 1.6277 3.8257
Pd -1.4344 4.1122 3.8257
Pd 1.4097 0.8139 8.1749
Pd 2.8441 0.0000 0.0000
Pd 1.4220 2.4630 0.0000
Pd 1.4344 4.1122 3.8257
Pd 4.2785 0.8139 8.1749
Pd 2.8441 3.2984 8.1749

***

10
Lattice="4.0826 0.0000 0.0000 0.0000 4.0826 0.0000 0.0000 0.0000 11.9688" Properties=species:S:1:pos:R:3 comment="Nd2Zn4InPd3 | Alexandria | PBE-GGA | optimized geometry" crystal_system=tetragonal pbc="T T T"
Nd 0.0000 2.0413 2.8547
Nd 2.0413 0.0000 9.1141
Zn 0.0000 0.0000 0.0000
Zn 0.0000 2.0413 7.7552
Zn 2.0413 0.0000 4.2137
Zn 2.0413 2.0413 0.0000
In 0.0000 0.0000 5.9844
Pd 0.0000 2.0413 10.3128
Pd 2.0413 0.0000 1.6560
Pd 2.0413 2.0413 5.9844

***

10
Lattice="5.6782 0.0000 0.0000 2.8349 4.9202 0.0000 2.8291 1.6196 8.2140" Properties=species:S:1:pos:R:3 comment="Nd2ZnInPd6 | Alexandria | PBE-GGA | optimized geometry" crystal_system=triclinic pbc="T T T"
Nd 2.8339 1.6315 3.1849
Nd 8.5084 4.9083 5.0290
Zn 5.6711 3.2699 4.1070
In 0.0000 0.0000 0.0000
Pd 4.2378 4.0991 2.1992
Pd 4.2379 2.4413 6.0169
Pd 5.6695 4.9247 6.0143
Pd 5.6728 1.6151 2.1997
Pd 7.1044 4.0985 2.1970
Pd 7.1044 2.4407 6.0148

***

20
Lattice="9.9285 0.0000 0.0000 0.0000 9.9285 0.0000 0.0000 0.0000 3.8345" Properties=species:S:1:pos:R:3 comment="Nd2Zn2InPd5 | Alexandria | PBE-GGA | optimized geometry" crystal_system=tetragonal pbc="T T T"
Nd 1.7632 3.2010 0.0000
Nd 3.2010 8.1653 0.0000
Nd 6.7275 1.7632 0.0000
Nd 8.1653 6.7275 0.0000
Zn 1.1796 6.1439 0.0000
Zn 3.7846 1.1796 0.0000
Zn 6.1439 8.7489 0.0000
Zn 8.7489 3.7846 0.0000
In 0.0000 0.0000 0.0000
In 4.9643 4.9643 0.0000
Pd 0.0000 4.9643 1.9172
Pd 0.6472 7.8448 1.9172
Pd 2.0837 0.6472 1.9172
Pd 2.8806 5.6114 1.9172
Pd 4.3171 2.8806 1.9172
Pd 4.9643 0.0000 1.9172
Pd 5.6114 7.0479 1.9172
Pd 7.0479 4.3171 1.9172
Pd 7.8448 9.2813 1.9172
Pd 9.2813 2.0837 1.9172

***

4
Lattice="4.9751 0.0000 0.0000 0.0000 4.9751 0.0000 0.0000 0.0000 4.9523" Properties=species:S:1:pos:R:3 comment="Pm2NdIn | Alexandria | PBE-GGA | optimized geometry" polymorph_energy_mev_per_atom=0 crystal_system=tetragonal pbc="T T T"
Pm 0.0000 2.4876 0.0000
Pm 2.4876 0.0000 0.0000
Nd 0.0000 0.0000 2.4761
In 2.4876 2.4876 2.4761

***

6
Lattice="4.7611 0.0000 0.0000 0.0000 4.7611 0.0000 0.0000 0.0000 8.5349" Properties=species:S:1:pos:R:3 comment="PmNdIn | Alexandria | PBE-GGA | optimized geometry" polymorph_energy_mev_per_atom=5 crystal_system=tetragonal pbc="T T T"
Pm 1.1903 3.5708 0.0000
Pm 3.5708 1.1903 0.0000
Nd 1.1903 1.1903 3.0323
Nd 3.5708 3.5708 5.5026
In 1.1903 1.1903 6.2343
In 3.5708 3.5708 2.3006

***

8
Lattice="-2.2617 2.5192 10.4999 2.2617 -2.5192 10.4999 2.2617 2.5192 -10.4999" Properties=species:S:1:pos:R:3 comment="Pm3Nd2In3 | Alexandria | PBE-GGA | optimized geometry" crystal_system=orthorhombic pbc="T T T"
Pm 0.0000 0.0000 0.0000
Pm 2.2617 0.0000 8.0111
Pm 0.0000 2.5192 2.4887
Nd 0.0000 0.0000 4.9697
Nd 0.0000 0.0000 16.0300
In 2.2617 0.0000 2.5922
In 0.0000 0.0000 10.4999
In 0.0000 2.5192 7.9077

***

8
Lattice="5.0141 0.0000 0.0000 0.0000 5.0141 0.0000 0.0000 0.0000 10.3569" Properties=species:S:1:pos:R:3 comment="Pm6NdIn | Alexandria | PBE-GGA | optimized geometry" crystal_system=tetragonal pbc="T T T"
Pm 0.0000 0.0000 0.0000
Pm 0.0000 0.0000 5.1784
Pm 0.0000 2.5070 2.4978
Pm 0.0000 2.5070 7.8591
Pm 2.5070 0.0000 2.4978
Pm 2.5070 0.0000 7.8591
Nd 2.5070 2.5070 5.1784
In 2.5070 2.5070 0.0000

***

10
Lattice="4.6821 -7.9667 0.0000 4.6821 7.9667 0.0000 0.0000 0.0000 5.5104" Properties=species:S:1:pos:R:3 comment="PmNd7In2 | Alexandria | PBE-GGA | optimized geometry" crystal_system=orthorhombic pbc="T T T"
Pm 0.0000 0.0000 0.0000
Nd 1.7002 1.9327 2.7552
Nd 4.6821 4.3751 0.0000
Nd 1.7002 -1.9327 2.7552
Nd 4.6821 0.0000 2.7552
Nd 7.6641 1.9327 2.7552
Nd 4.6821 -4.3751 0.0000
Nd 7.6641 -1.9327 2.7552
In 4.6821 3.1168 2.7552
In 4.6821 -3.1168 2.7552

***

18
Lattice="5.6977 -4.1227 0.0000 5.6977 4.1227 0.0000 -0.0018 0.0000 13.6634" Properties=species:S:1:pos:R:3 comment="Pm5Nd3In | Alexandria | PBE-GGA | optimized geometry" crystal_system=monoclinic pbc="T T T"
Pm 0.0084 0.0000 10.1885
Pm 2.9010 1.8686 9.0947
Pm 5.6977 2.7032 0.0000
Pm 2.9860 0.0000 1.7884
Pm 2.9010 -1.8686 9.0947
Pm 8.4927 1.8686 4.5688
Pm 8.4076 0.0000 11.8750
Pm 5.6977 -2.7032 0.0000
Pm 8.4927 -1.8686 4.5688
Pm 11.3853 0.0000 3.4749
Nd 1.5247 0.0000 6.7159
Nd 2.9564 0.0000 12.0382
Nd 5.6977 0.0000 0.0000
Nd 5.6968 0.0000 6.8317
Nd 8.4373 0.0000 1.6252
Nd 9.8690 0.0000 6.9476
In 5.6895 0.0000 10.1379
In 5.7041 0.0000 3.5255

***

7
Lattice="8.6091 -1.7808 0.0000 8.6091 1.7808 0.0000 -3.8372 0.0000 7.2301" Properties=species:S:1:pos:R:3 comment="Pm3Nd2In2 | Alexandria | PBE-GGA | optimized geometry" polymorph_energy_mev_per_atom=32 crystal_system=monoclinic pbc="T T T"
Pm 0.0000 0.0000 0.0000
Pm 3.1351 0.0000 0.9411
Pm 10.2459 0.0000 6.2889
Nd 0.3478 0.0000 3.4239
Nd 13.0333 0.0000 3.8061
In 6.4360 0.0000 1.8093
In 6.9450 0.0000 5.4207

***

12
Lattice="5.3418 0.0000 0.0000 0.0000 10.1118 0.0000 0.0000 0.0000 6.8622" Properties=species:S:1:pos:R:3 comment="Pm3NdIn2 | Alexandria | PBE-GGA | optimized geometry" polymorph_energy_mev_per_atom=0 crystal_system=orthorhombic pbc="T T T"
Pm 0.0000 0.4053 0.0000
Pm 0.0000 3.2476 2.3433
Pm 0.0000 6.8642 5.7744
Pm 0.0000 9.7066 3.4311
Pm 2.6709 1.7943 4.9751
Pm 2.6709 8.3176 1.5440
Nd 2.6709 4.6551 0.4627
Nd 2.6709 5.4568 3.8938
In 0.0000 3.5936 5.6217
In 0.0000 6.5182 2.1906
In 2.6709 1.4511 1.6941
In 2.6709 8.6607 5.1252

***

14
Lattice="9.6890 0.0000 0.0000 -4.8445 8.3909 0.0000 0.0000 0.0000 5.2458" Properties=species:S:1:pos:R:3 comment="PmNd3In3 | Alexandria | PBE-GGA | optimized geometry" crystal_system=hexagonal pbc="T T T"
Pm 0.0000 5.5940 1.3114
Pm 4.8445 2.7970 3.9343
Nd -1.1464 2.0072 3.9343
Nd -2.5330 8.3801 3.9343
Nd 1.1651 1.9964 1.3114
Nd 3.6794 6.3945 3.9343
Nd 7.3775 0.0108 1.3114
Nd 5.9909 6.3837 1.3114
In -2.3001 5.1435 3.9343
In 1.5402 3.8272 3.9343
In 4.0846 0.5798 1.3114
In 0.7599 7.8111 3.9343
In 3.3043 4.5637 1.3114
In 7.1446 3.2475 1.3114

***

16
Lattice="5.0005 0.0000 0.0000 0.0000 10.2489 0.0000 0.0000 0.0000 10.2428" Properties=species:S:1:pos:R:3 comment="Pm3Nd4In | Alexandria | PBE-GGA | optimized geometry" polymorph_energy_mev_per_atom=0 crystal_system=orthorhombic pbc="T T T"
Pm 1.2501 0.0109 1.1913
Pm 1.2501 5.1135 1.1913
Pm 1.2501 7.6867 9.0140
Pm 3.7504 2.5622 1.2288
Pm 3.7504 5.1354 9.0515
Pm 3.7504 10.2380 9.0515
Nd 1.2501 0.0562 6.4959
Nd 1.2501 2.5622 3.8190
Nd 1.2501 5.0683 6.4959
Nd 1.2501 7.6867 3.7400
Nd 3.7504 2.5622 6.5028
Nd 3.7504 5.1806 3.7469
Nd 3.7504 7.6867 6.4238
Nd 3.7504 10.1927 3.7469
In 1.2501 2.5622 8.9998
In 3.7504 7.6867 1.2430

***

20
Lattice="6.2553 3.6115 5.2283 -6.2553 3.6115 5.2283 0.0000 -7.2231 5.2283" Properties=species:S:1:pos:R:3 comment="Pm12Nd7In | Alexandria | PBE-GGA | optimized geometry" crystal_system=trigonal pbc="T T T"
Pm -5.5265 0.8000 6.4066
Pm -3.4561 -4.3861 9.2783
Pm -2.1247 -0.3613 4.8479
Pm 2.0705 -5.1861 6.4066
Pm 1.3752 -1.6594 4.8479
Pm 0.7495 2.0207 4.8479
Pm -0.7495 -2.0207 10.8370
Pm -1.3752 1.6594 10.8370
Pm -2.0705 5.1861 9.2783
Pm 2.1247 0.3613 10.8370
Pm 3.4561 4.3861 6.4066
Pm 5.5265 -0.8000 9.2783
Nd -3.4585 -0.9651 8.3529
Nd -0.8935 -3.4777 7.3320
Nd -2.5650 2.5126 7.3320
Nd 0.0000 0.0000 7.8425
Nd 2.5650 -2.5126 8.3529
Nd 0.8935 3.4777 8.3529
Nd 3.4585 0.9651 7.3320
In 0.0000 0.0000 0.0000

***

11
Lattice="8.8257 0.0000 0.0000 0.0000 3.5056 0.0000 -1.0517 0.0000 10.7448" Properties=species:S:1:pos:R:3 comment="Pm2Nd5In4 | Alexandria | PBE-GGA | optimized geometry" crystal_system=monoclinic pbc="T T T"
Pm 0.5806 0.0000 1.4738
Pm 7.1934 0.0000 9.2710
Nd 0.7248 0.0000 6.8925
Nd 3.8736 0.0000 1.7843
Nd 3.8870 0.0000 5.3724
Nd 3.9004 0.0000 8.9604
Nd 7.0492 0.0000 3.8523
In 1.3728 1.7528 4.0752
In 1.2208 1.7528 9.9019
In 6.5532 1.7528 0.8429
In 6.4012 1.7528 6.6695

***

Number 1: total moment 0.00 μB/f.u., E_form -0.5532 eV/atom. Number 2: total moment 0.00 μB/f.u., E_form -0.4423 eV/atom. Number 3: total moment 0.00 μB/f.u., E_form -0.4444 eV/atom. Number 4: total moment 0.00 μB/f.u., E_form -0.4353 eV/atom. Number 5: total moment 0.00 μB/f.u., E_form -0.5128 eV/atom. Number 6: total moment 0.00 μB/f.u., E_form -0.5488 eV/atom. Number 7: total moment 0.00 μB/f.u., E_form -0.5415 eV/atom. Number 8: total moment 0.00 μB/f.u., E_form -0.6672 eV/atom. Number 9: total moment 0.25 μB/f.u., E_form -0.2733 eV/atom. Number 10: total moment 0.56 μB/f.u., E_form -0.2843 eV/atom. Number 11: total moment 0.00 μB/f.u., E_form -0.3630 eV/atom. Number 12: total moment 0.00 μB/f.u., E_form -0.1158 eV/atom. Number 13: total moment 0.00 μB/f.u., E_form 0.3102 eV/atom. Number 14: total moment 0.00 μB/f.u., E_form 0.2529 eV/atom. Number 15: total moment 0.00 μB/f.u., E_form -0.1438 eV/atom. Number 16: total moment 0.00 μB/f.u., E_form -0.3517 eV/atom. Number 17: total moment 0.00 μB/f.u., E_form -0.3395 eV/atom. Number 18: total moment 0.00 μB/f.u., E_form -0.0984 eV/atom. Number 19: total moment 0.00 μB/f.u., E_form 0.1565 eV/atom. Number 20: total moment 0.00 μB/f.u., E_form -0.2931 eV/atom.